#one
The following is a DFT calculation (PBE) of a geometry-optimized Pr2Nd9Sm structure.

```
data_Pr2Nd9Sm
_chemical_formula_sum 'Pr2 Nd9 Sm1'
_cell_length_a 5.203
_cell_length_b 5.203
_cell_length_c 15.619
_cell_angle_alpha 90.00
_cell_angle_beta 90.00
_cell_angle_gamma 90.00
_symmetry_space_group_name_H-M 'P 4/m m m'
_symmetry_Int_Tables_number 123
_symmetry_space_group_name_Hall '-P 4 2'
loop_
_atom_site_label
_atom_site_type_symbol
_atom_site_fract_x
_atom_site_fract_y
_atom_site_fract_z
_atom_site_occupancy
Pr1 Pr 0.000 0.000 0.167 1
Nd1 Nd 0.000 0.500 0.000 1
Nd2 Nd 0.000 0.500 0.334 1
Nd3 Nd 0.500 0.500 0.167 1
Nd4 Nd 0.500 0.500 0.500 1
Sm1 Sm 0.000 0.000 0.500 1
```

Total magnetic moment   0.00 μB per cell


#two
The following is a DFT calculation (PBE) of a geometry-optimized Pr2Nd9Sm structure.

```
data_Pr2Nd9Sm
_chemical_formula_sum 'Pr2 Nd9 Sm1'
_cell_length_a 11.6442
_cell_length_b 11.6442
_cell_length_c 3.5939
_cell_angle_alpha 90.00
_cell_angle_beta 90.00
_cell_angle_gamma 120.00
_symmetry_space_group_name_H-M 'P 6/m m m'
_symmetry_Int_Tables_number 191
_symmetry_space_group_name_Hall '-P 6 2'
loop_
_atom_site_label
_atom_site_type_symbol
_atom_site_fract_x
_atom_site_fract_y
_atom_site_fract_z
_atom_site_occupancy
Pr1 Pr 0.3333 0.6667 0.0000 1
Nd1 Nd 0.0000 0.5000 0.0000 1
Nd2 Nd 0.1723 0.3446 0.5000 1
Sm1 Sm 0.0000 0.0000 0.0000 1
```

Total magnetic moment   0.00 μB per cell


List of relative energies, unit kJ/mol of atoms: #one 0.0; #two 2.7


#one
The following is a DFT calculation (PBE) of a geometry-optimized PrNd4Sm2 structure.

```
data_PrNd4Sm2
_chemical_formula_sum 'Pr2 Nd8 Sm4'
_cell_length_a 6.206
_cell_length_b 6.764
_cell_length_c 11.995
_cell_angle_alpha 90.00
_cell_angle_beta 104.78
_cell_angle_gamma 90.00
_symmetry_space_group_name_H-M 'P 1 21/m 1'
_symmetry_Int_Tables_number 11
loop_
_symmetry_equiv_pos_as_xyz
'x,y,z'
'-x,-y,-z'
'-x,y+1/2,-z'
'x,-y+1/2,z'
loop_
_atom_site_label
_atom_site_type_symbol
_atom_site_fract_x
_atom_site_fract_y
_atom_site_fract_z
_atom_site_occupancy
Pr1 Pr 0.004 0.250 0.349 1
Nd1 Nd 0.152 0.250 0.652 1
Nd2 Nd 0.292 0.750 0.940 1
Nd3 Nd 0.358 0.501 0.214 1
Sm1 Sm 0.148 0.250 0.939 1
Sm2 Sm 0.405 0.750 0.499 1
```

Total magnetic moment   0.00 μB per cell


#two
The following is a DFT calculation (PBE) of a geometry-optimized PrNd4Sm2 structure.

```
data_PrNd4Sm2
_chemical_formula_sum 'Pr2 Nd8 Sm4'
_cell_length_a 3.602
_cell_length_b 5.915
_cell_length_c 23.314
_cell_angle_alpha 90.00
_cell_angle_beta 90.00
_cell_angle_gamma 90.00
_symmetry_space_group_name_H-M 'I m m m'
_symmetry_Int_Tables_number 71
_symmetry_space_group_name_Hall '-I 2 2'
loop_
_atom_site_label
_atom_site_type_symbol
_atom_site_fract_x
_atom_site_fract_y
_atom_site_fract_z
_atom_site_occupancy
Pr1 Pr 0.000 0.000 0.000 1
Nd1 Nd 0.000 0.500 0.085 1
Nd2 Nd 0.000 0.500 0.362 1
Sm1 Sm 0.000 0.000 0.275 1
```

Total magnetic moment   0.00 μB per cell


List of relative energies, unit kJ/mol of atoms: #one 1.9; #two 0.0


#one
The following is a DFT calculation (PBE) of a geometry-optimized Pr2Nd7Sm2 structure.

```
data_Pr2Nd7Sm2
_chemical_formula_sum 'Pr4 Nd14 Sm4'
_cell_length_a 10.146
_cell_length_b 9.606
_cell_length_c 8.421
_cell_angle_alpha 90.00
_cell_angle_beta 105.53
_cell_angle_gamma 90.00
_symmetry_space_group_name_H-M 'C 1 2/m 1'
_symmetry_Int_Tables_number 12
loop_
_symmetry_equiv_pos_as_xyz
'x,y,z'
'-x,-y,-z'
'-x,y,-z'
'x,-y,z'
'x+1/2,y+1/2,z'
'-x+1/2,-y+1/2,-z'
'-x+1/2,y+1/2,-z'
'x+1/2,-y+1/2,z'
loop_
_atom_site_label
_atom_site_type_symbol
_atom_site_fract_x
_atom_site_fract_y
_atom_site_fract_z
_atom_site_occupancy
Pr1 Pr 0.084 0.000 0.323 1
Nd1 Nd 0.000 0.500 0.500 1
Nd2 Nd 0.196 0.205 0.676 1
Nd3 Nd 0.214 0.000 0.021 1
Sm1 Sm 0.000 0.298 0.000 1
```

Total magnetic moment   0.00 μB per cell


#two
The following is a DFT calculation (PBE) of a geometry-optimized Pr2Nd7Sm2 structure.

```
data_Pr2Nd7Sm2
_chemical_formula_sum 'Pr8 Nd28 Sm8'
_cell_length_a 16.298
_cell_length_b 6.423
_cell_length_c 15.980
_cell_angle_alpha 90.00
_cell_angle_beta 111.09
_cell_angle_gamma 90.00
_symmetry_space_group_name_H-M 'C 1 2/c 1'
_symmetry_Int_Tables_number 15
loop_
_symmetry_equiv_pos_as_xyz
'x,y,z'
'-x,-y,-z'
'-x,y,-z+1/2'
'x,-y,z+1/2'
'x+1/2,y+1/2,z'
'-x+1/2,-y+1/2,-z'
'-x+1/2,y+1/2,-z+1/2'
'x+1/2,-y+1/2,z+1/2'
loop_
_atom_site_label
_atom_site_type_symbol
_atom_site_fract_x
_atom_site_fract_y
_atom_site_fract_z
_atom_site_occupancy
Pr1 Pr 0.137 0.166 0.478 1
Nd1 Nd 0.000 0.333 0.250 1
Nd2 Nd 0.046 0.166 0.659 1
Nd3 Nd 0.092 0.335 0.069 1
Nd4 Nd 0.182 0.334 0.886 1
Sm1 Sm 0.227 0.165 0.295 1
```

Total magnetic moment   0.00 μB per cell


List of relative energies, unit kJ/mol of atoms: #one 12.8; #two 0.0


#one
The following is a DFT calculation (PBE) of a geometry-optimized Pr8Nd2Sm structure.

```
data_Pr8Nd2Sm
_chemical_formula_sum 'Pr16 Nd4 Sm2'
_cell_length_a 17.151
_cell_length_b 6.918
_cell_length_c 6.850
_cell_angle_alpha 90.00
_cell_angle_beta 100.45
_cell_angle_gamma 90.00
_symmetry_space_group_name_H-M 'C 1 2/m 1'
_symmetry_Int_Tables_number 12
loop_
_symmetry_equiv_pos_as_xyz
'x,y,z'
'-x,-y,-z'
'-x,y,-z'
'x,-y,z'
'x+1/2,y+1/2,z'
'-x+1/2,-y+1/2,-z'
'-x+1/2,y+1/2,-z'
'x+1/2,-y+1/2,z'
loop_
_atom_site_label
_atom_site_type_symbol
_atom_site_fract_x
_atom_site_fract_y
_atom_site_fract_z
_atom_site_occupancy
Pr1 Pr 0.087 0.238 0.407 1
Pr2 Pr 0.092 0.000 0.914 1
Pr3 Pr 0.245 0.500 0.319 1
Nd1 Nd 0.197 0.500 0.810 1
Sm1 Sm 0.000 0.500 0.000 1
```

Total magnetic moment   0.00 μB per cell


#two
The following is a DFT calculation (PBE) of a geometry-optimized Pr8Nd2Sm structure.

```
data_Pr8Nd2Sm
_chemical_formula_sum 'Pr16 Nd4 Sm2'
_cell_length_a 9.305
_cell_length_b 16.860
_cell_length_c 6.110
_cell_angle_alpha 90.00
_cell_angle_beta 123.66
_cell_angle_gamma 90.00
_symmetry_space_group_name_H-M 'C 1 2/m 1'
_symmetry_Int_Tables_number 12
loop_
_symmetry_equiv_pos_as_xyz
'x,y,z'
'-x,-y,-z'
'-x,y,-z'
'x,-y,z'
'x+1/2,y+1/2,z'
'-x+1/2,-y+1/2,-z'
'-x+1/2,y+1/2,-z'
'x+1/2,-y+1/2,z'
loop_
_atom_site_label
_atom_site_type_symbol
_atom_site_fract_x
_atom_site_fract_y
_atom_site_fract_z
_atom_site_occupancy
Pr1 Pr 0.000 0.205 0.000 1
Pr2 Pr 0.079 0.500 0.797 1
Pr3 Pr 0.216 0.117 0.679 1
Nd1 Nd 0.000 0.308 0.500 1
Sm1 Sm 0.000 0.000 0.000 1
```

Total magnetic moment   0.00 μB per cell


List of relative energies, unit kJ/mol of atoms: #one 1.5; #two 0.0


#one
The following is a DFT calculation (PBE) of a geometry-optimized PrNd7Sm2 structure.

```
data_PrNd7Sm2
_chemical_formula_sum 'Pr2 Nd14 Sm4'
_cell_length_a 12.178
_cell_length_b 17.147
_cell_length_c 3.544
_cell_angle_alpha 90.00
_cell_angle_beta 90.00
_cell_angle_gamma 90.00
_symmetry_space_group_name_H-M 'C m m m'
_symmetry_Int_Tables_number 65
_symmetry_space_group_name_Hall '-C 2 2'
loop_
_atom_site_label
_atom_site_type_symbol
_atom_site_fract_x
_atom_site_fract_y
_atom_site_fract_z
_atom_site_occupancy
Pr1 Pr 0.000 0.000 0.000 1
Nd1 Nd 0.000 0.324 0.000 1
Nd2 Nd 0.000 0.500 0.500 1
Nd3 Nd 0.243 0.370 0.500 1
Sm1 Sm 0.000 0.171 0.500 1
```

Total magnetic moment   0.00 μB per cell


#two
The following is a DFT calculation (PBE) of a geometry-optimized PrNd7Sm2 structure.

```
data_PrNd7Sm2
_chemical_formula_sum 'Pr2 Nd14 Sm4'
_cell_length_a 8.931
_cell_length_b 16.468
_cell_length_c 5.692
_cell_angle_alpha 90.00
_cell_angle_beta 90.00
_cell_angle_gamma 90.00
_symmetry_space_group_name_H-M 'C m m m'
_symmetry_Int_Tables_number 65
_symmetry_space_group_name_Hall '-C 2 2'
loop_
_atom_site_label
_atom_site_type_symbol
_atom_site_fract_x
_atom_site_fract_y
_atom_site_fract_z
_atom_site_occupancy
Pr1 Pr 0.000 0.000 0.000 1
Nd1 Nd 0.000 0.227 0.000 1
Nd2 Nd 0.000 0.500 0.500 1
Nd3 Nd 0.180 0.115 0.500 1
Sm1 Sm 0.000 0.297 0.500 1
```

Total magnetic moment   0.00 μB per cell


List of relative energies, unit kJ/mol of atoms: #one 0.0; #two 24.6